Material: AlSbIr2Cl
Method: DFT, PBE
State: optimized geometry

a = 4.4123 Å, b = 5.4427 Å, c = 4.4123 Å
α = 90.00°, β = 90.00°, γ = 90.00°
Site moments in Bohr magnetons follow the coordinates.
Fractional positions:
Al  0.5000  0.5000  0.5000  0.00
Cl  0.0000  0.0000  0.0000  0.02
Ir  0.5000  0.0000  0.0000  0.24
Sb  0.0000  0.5000  0.0000  0.01
Ir  0.0000  0.0000  0.5000  0.22

## Properties
calculated volume	106.0	Å³/f.u.
E_tot	-4.1302	eV per atom
N(E_F)	5.42	states/eV/cell
E_form (uncorrected)	1.357	eV per atom
size of the total moment	0.485	μB per formula unit


Material: Na3Ti2CoS6
Method: DFT, PBE
State: optimized geometry

a = 6.1624 Å, b = 6.1624 Å, c = 6.9226 Å
α = 98.53°, β = 98.53°, γ = 120.00°
Site moments in Bohr magnetons follow the coordinates.
Fractional positions:
Na  0.1660  0.8340  0.5000  0.00
Co  0.0000  0.0000  0.0000  1.87
S  0.0687  0.4032  0.2061  0.03
S  0.2658  0.2658  0.7939  0.03
Na  0.8340  0.1660  0.5000  0.00
Ti  0.3331  0.6669  0.0000  -0.06
S  0.4032  0.0687  0.2061  0.03
S  0.5968  0.9313  0.7939  0.03
S  0.7342  0.7342  0.2061  0.03
Na  0.5000  0.5000  0.5000  0.00
S  0.9313  0.5968  0.7939  0.03
Ti  0.6669  0.3331  0.0000  -0.06

## Properties
calculated volume	217.4	Å³/f.u.
E_tot	-5.4026	eV per atom
N(E_F)	1.44	states/eV/cell
E_form (uncorrected)	-1.101	eV per atom
size of the total moment	1.992	μB per formula unit


Material: Mg15Cd2Hg2
Method: DFT, PBE
State: optimized geometry

a = 7.8276 Å, b = 7.8276 Å, c = 7.8276 Å
α = 80.03°, β = 80.03°, γ = 80.03°
Fractional positions:
Hg  0.9001  0.9001  0.9001
Cd  0.3195  0.3195  0.3195
Mg  0.6634  0.6634  0.1619
Mg  0.1619  0.6634  0.6634
Mg  0.3366  0.3366  0.8381
Cd  0.6805  0.6805  0.6805
Mg  0.0000  0.5000  0.0000
Hg  0.0999  0.0999  0.0999
Mg  0.8381  0.3366  0.3366
Mg  0.3366  0.8381  0.3366
Mg  0.6725  0.3275  0.0000
Mg  0.3275  0.6725  0.0000
Mg  0.6725  0.0000  0.3275
Mg  0.0000  0.3275  0.6725
Mg  0.5000  0.0000  0.0000
Mg  0.0000  0.6725  0.3275
Mg  0.0000  0.0000  0.5000
Mg  0.6634  0.1619  0.6634
Mg  0.3275  0.0000  0.6725

## Properties
calculated volume	460.1	Å³/f.u.
E_tot	-1.3113	eV per atom
N(E_F)	6.90	states/eV/cell
ΔE_f	76	meV per atom
size of the total moment	0.000	μB per formula unit


Material: ThHgPb
Method: DFT, PBE
State: optimized geometry

a = 4.3149 Å, b = 4.8392 Å, c = 4.8392 Å
α = 120.00°, β = 90.00°, γ = 90.00°
Fractional positions:
Pb  0.0520  0.0000  0.0000
Th  0.6304  0.6667  0.3333
Hg  0.3177  0.3333  0.6667

## Properties
calculated volume	87.5	Å³/f.u.
E_tot	-4.0265	eV per atom
N(E_F)	0.48	states/eV/cell
ΔE_f	-217	meV per atom
size of the total moment	0.000	μB per formula unit


Material: Sm4Cu5Ni2
Method: DFT, PBE
State: optimized geometry

a = 3.9702 Å, b = 6.9182 Å, c = 7.8894 Å
α = 89.23°, β = 90.00°, γ = 90.00°
Fractional positions:
Cu  0.0000  0.8682  0.8855
Cu  0.0000  0.1318  0.1145
Sm  0.5000  0.7743  0.1433
Cu  0.0000  0.4269  0.6450
Cu  0.0000  0.5000  0.0000
Cu  0.0000  0.5731  0.3550
Sm  0.5000  0.2257  0.8567
Sm  0.5000  0.2473  0.3800
Sm  0.5000  0.7527  0.6200
Ni  0.0000  0.9273  0.3674
Ni  0.0000  0.0727  0.6326

## Properties
calculated volume	216.7	Å³/f.u.
E_tot	-4.8491	eV per atom
N(E_F)	7.27	states/eV/cell
ΔE_f	-220	meV per atom
size of the total moment	0.000	μB per formula unit


Material: LaInNi5
Method: DFT, PBE
State: optimized geometry

a = 4.9571 Å, b = 4.9571 Å, c = 19.9925 Å
α = 90.00°, β = 90.00°, γ = 120.00°
Site moments in Bohr magnetons follow the coordinates.
Fractional positions:
Ni  0.3333  0.6667  0.4517  0.05
Ni  0.8342  0.6683  0.8520  0.15
Ni  0.6683  0.8342  0.3520  0.15
Ni  0.3317  0.1658  0.6480  0.15
Ni  0.1658  0.8342  0.3520  0.15
Ni  0.6683  0.8342  0.1480  0.15
Ni  0.8342  0.1658  0.6480  0.15
La  0.0000  0.0000  0.0000  -0.02
Ni  0.0000  0.0000  0.7500  0.19
In  0.3333  0.6667  0.9149  -0.01
Ni  0.8342  0.6683  0.6480  0.15
Ni  0.1658  0.3317  0.3520  0.15
Ni  0.3317  0.1658  0.8520  0.15
In  0.6667  0.3333  0.4149  -0.01
Ni  0.1658  0.3317  0.1480  0.15
La  0.0000  0.0000  0.5000  -0.02
La  0.6667  0.3333  0.2500  -0.03
Ni  0.8342  0.1658  0.8520  0.15
Ni  0.6667  0.3333  0.9517  0.05
Ni  0.6667  0.3333  0.5483  0.05
Ni  0.3333  0.6667  0.2500  0.29
La  0.3333  0.6667  0.7500  -0.03
In  0.3333  0.6667  0.5851  -0.01
Ni  0.1658  0.8342  0.1480  0.15
Ni  0.3333  0.6667  0.0483  0.05
In  0.6667  0.3333  0.0851  -0.01
Ni  0.6667  0.3333  0.7500  0.29
Ni  0.0000  0.0000  0.2500  0.19

## Properties
calculated volume	106.4	Å³/f.u.
distance to the lowest polymorph of the same formula	0.000	eV per formula unit
E_tot	-5.5204	eV per atom
N(E_F)	32.04	states/eV/cell
ΔE_f	-296	meV per atom
size of the total moment	0.654	μB per formula unit